Here is crystalline SrNbCuPt at its relaxed geometry from the Open Quantum Materials Database. Energies are from GGA-PBE.

The structure in POSCAR format:
```
SrNbCuPt
1.0
0.0000 3.4131 3.4131
3.4131 0.0000 3.4131
3.4131 3.4131 0.0000
Sr Nb Cu Pt
1 1 1 1
Direct
0.0000 0.0000 0.0000
0.5000 0.5000 0.5000
0.2500 0.2500 0.2500
0.7500 0.7500 0.7500
```

As for the energy relative to the lowest polymorph listed for this composition: 0.0 meV per atom. The value obtained for the density is 9171 kg/m³. The magnetization is 1.02 Bohr magnetons per cell. Its space group is No. 216.